{"formula": "Ba2ThCu2S5", "functional": "PBE", "state": "relaxed", "spacegroup": "C2/m, No. 12", "m_tot_mub_per_fu": 0.001, "vol_a3_per_atom": 24.06, "e_tot_ev_per_atom": -5.492, "lattice_angstrom": [[6.845, -2.068, 0.000], [6.845, 2.068, 0.000], [-4.117, 0.000, 8.498]], "species": ["Ba", "Ba", "Cu", "Cu", "S", "S", "S", "S", "S", "Th"], "frac_coords": [[0.824, 0.824, 0.307], [0.176, 0.176, 0.693], [0.555, 0.555, 0.299], [0.445, 0.445, 0.701], [0.386, 0.386, 0.067], [0.147, 0.147, 0.313], [0.500, 0.500, 0.500], [0.853, 0.853, 0.687], [0.614, 0.614, 0.933], [0.000, 0.000, 0.000]]}



{"formula": "NdCdB4", "functional": "PBE", "state": "relaxed", "spacegroup": "P6/mmm, No. 191", "de_polymorph_kj_per_mol_atoms": 10.76, "m_tot_mub_per_fu": 0.004, "vol_a3_per_atom": 12.04, "e_tot_ev_per_atom": -5.250, "lattice_angstrom": [[3.220, 0.000, 0.000], [-1.610, 2.789, 0.000], [0.000, 0.000, 8.042]], "species": ["B", "B", "B", "B", "Cd", "Nd"], "frac_coords": [[0.667, 0.333, 0.259], [0.333, 0.667, 0.259], [0.667, 0.333, 0.741], [0.333, 0.667, 0.741], [0.000, 0.000, 0.500], [0.000, 0.000, 0.000]]}



{"formula": "Zn2IrO4", "functional": "PBE", "state": "relaxed", "spacegroup": "Fd-3m, No. 227", "m_tot_mub_per_fu": 0.770, "vol_a3_per_atom": 11.37, "e_tot_ev_per_atom": -5.154, "lattice_angstrom": [[4.301, -4.302, 0.000], [-4.301, 0.000, -4.302], [4.301, 4.302, 0.000]], "species": ["Ir", "Ir", "O", "O", "O", "O", "O", "O", "O", "O", "Zn", "Zn", "Zn", "Zn"], "frac_coords": [[0.000, 0.000, 0.000], [0.750, 0.500, 0.250], [0.618, 0.237, 0.381], [0.145, 0.763, 0.381], [0.619, 0.763, 0.382], [0.131, 0.263, 0.395], [0.619, 0.237, 0.855], [0.131, 0.737, 0.868], [0.132, 0.263, 0.869], [0.605, 0.737, 0.869], [0.375, 0.750, 0.125], [0.375, 0.750, 0.625], [0.875, 0.250, 0.625], [0.375, 0.250, 0.625]]}



{"formula": "Rb2OsPbO6", "functional": "PBE", "state": "relaxed", "spacegroup": "P1, No. 1", "m_tot_mub_per_fu": 0.003, "vol_a3_per_atom": 16.23, "e_tot_ev_per_atom": -5.895, "lattice_angstrom": [[6.114, 0.000, 0.000], [-0.001, 6.130, 0.000], [-0.004, -0.008, 8.661]], "species": ["O", "O", "O", "O", "O", "O", "O", "O", "O", "O", "O", "O", "Os", "Os", "Pb", "Pb", "Rb", "Rb", "Rb", "Rb"], "frac_coords": [[0.163, 0.832, 0.001], [0.169, 0.263, 0.001], [0.949, 0.051, 0.216], [0.451, 0.550, 0.284], [0.228, 0.340, 0.499], [0.240, 0.771, 0.500], [0.660, 0.328, 0.500], [0.672, 0.759, 0.501], [0.449, 0.549, 0.716], [0.951, 0.051, 0.784], [0.731, 0.838, 0.999], [0.737, 0.269, 0.999], [0.950, 0.050, 0.000], [0.450, 0.550, 0.500], [0.450, 0.550, 0.000], [0.950, 0.050, 0.500], [0.450, 0.050, 0.250], [0.950, 0.550, 0.250], [0.450, 0.050, 0.750], [0.950, 0.550, 0.750]]}